Material: Ac2PmPrBi4
Method: DFT, PBE
State: relaxed

Structure (POSCAR):
```
Ac2PmPrBi4
1.0
8.216 0.000 0.000
0.000 4.748 0.000
-2.738 0.000 7.756
Ac Pm Pr Bi
2 1 1 4
Direct
0.000 0.000 0.000
0.500 0.500 0.000
0.000 0.500 0.500
0.500 0.000 0.500
0.243 0.000 0.735
0.253 0.500 0.264
0.747 0.500 0.736
0.757 0.000 0.265
```

Results
ΔH_f (0 K) ... -967 meV/atom
Raw total energy ... -41.01 eV/cell
Size of the total moment ... 0.0 μB/cell
Space group ... No. 10